{"formula": "CaTaH", "functional": "PBE", "state": "optimized geometry", "cell": [[-1.677, 1.864, 2.488], [-1.657, -2.928, 1.077], [6.886, -1.722, 5.909]], "species": ["H", "H", "Ca", "Ca", "Ta", "Ta"], "fractional_positions": [[0.751, 0.250, 0.773], [0.249, 0.750, 0.227], [0.749, 0.250, 0.197], [0.251, 0.750, 0.803], [0.750, 0.250, 0.558], [0.250, 0.750, 0.442]], "sg": "No. 11", "dos_at_fermi_per_ev_fu": 1.32, "energy_ev_per_atom": -5.818, "e_above_lowest_polymorph_ev_per_fu": 0.00}